(1)
# GGA-PBE Na3InPd, optimized geometry
# Total magnetic moment, μB per formula unit: 0.0
# Final energy, hartree per atom: -0.066
# ΔE to the lowest computed polymorph, eV per atom: 0.428
# DOS at the Fermi energy, states/eV per atom: 0.529
data_Na3InPd
_cell_length_a 5.687
_cell_length_b 5.687
_cell_length_c 5.687
_cell_angle_alpha 90.00
_cell_angle_beta 90.00
_cell_angle_gamma 90.00
_space_group_name_H-M_alt 'P 1'
_space_group_IT_number 1
loop_
_space_group_symop_operation_xyz
'x,y,z'
loop_
_atom_site_label
_atom_site_fract_x
_atom_site_fract_y
_atom_site_fract_z
Pd1 0.500 0.500 0.500
In1 0.000 0.000 0.000
Na1 0.500 0.000 0.000
Na2 0.000 0.500 0.000
Na3 0.000 0.000 0.500

***

(2)
# GGA-PBE NaIn3Pd3, optimized geometry
# Total magnetic moment, μB per formula unit: 0.0
# Final energy, hartree per atom: -0.134
# ΔE to the lowest computed polymorph, eV per atom: 0.260
# DOS at the Fermi energy, states/eV per atom: 0.368
data_NaIn3Pd3
_cell_length_a 7.408
_cell_length_b 7.408
_cell_length_c 7.408
_cell_angle_alpha 90.00
_cell_angle_beta 90.00
_cell_angle_gamma 90.00
_space_group_name_H-M_alt 'P 1'
_space_group_IT_number 1
loop_
_space_group_symop_operation_xyz
'x,y,z'
loop_
_atom_site_label
_atom_site_fract_x
_atom_site_fract_y
_atom_site_fract_z
In1 0.000 0.500 0.750
In2 0.000 0.500 0.250
In3 0.500 0.250 0.000
In4 0.750 0.000 0.500
In5 0.250 0.000 0.500
In6 0.500 0.750 0.000
Na1 0.000 0.000 0.000
Na2 0.500 0.500 0.500
Pd1 0.500 0.000 0.250
Pd2 0.000 0.750 0.500
Pd3 0.000 0.250 0.500
Pd4 0.250 0.500 0.000
Pd5 0.500 0.000 0.750
Pd6 0.750 0.500 0.000

***

(3)
# GGA-PBE NaIn3Pd, optimized geometry
# Total magnetic moment, μB per formula unit: 0.0
# Final energy, hartree per atom: -0.116
# ΔE to the lowest computed polymorph, eV per atom: 0.053
# DOS at the Fermi energy, states/eV per atom: 0.422
data_NaIn3Pd
_cell_length_a 5.705
_cell_length_b 7.116
_cell_length_c 7.116
_cell_angle_alpha 120.05
_cell_angle_beta 90.00
_cell_angle_gamma 90.00
_space_group_name_H-M_alt 'P 1'
_space_group_IT_number 1
loop_
_space_group_symop_operation_xyz
'x,y,z'
loop_
_atom_site_label
_atom_site_fract_x
_atom_site_fract_y
_atom_site_fract_z
Na1 0.750 0.667 0.333
Na2 0.250 0.333 0.667
Pd1 0.000 0.000 0.000
Pd2 0.500 0.000 0.000
In1 0.250 0.811 0.189
In2 0.750 0.189 0.811
In3 0.750 0.622 0.811
In4 0.250 0.811 0.622
In5 0.250 0.378 0.189
In6 0.750 0.189 0.378

***

(4)
# GGA-PBE NaIn5Pd2, optimized geometry
# Total magnetic moment, μB per formula unit: 0.0
# Final energy, hartree per atom: -0.127
# DOS at the Fermi energy, states/eV per atom: 0.342
data_NaIn5Pd2
_cell_length_a 4.176
_cell_length_b 7.250
_cell_length_c 7.250
_cell_angle_alpha 68.72
_cell_angle_beta 73.26
_cell_angle_gamma 73.26
_space_group_name_H-M_alt 'P 1'
_space_group_IT_number 1
loop_
_space_group_symop_operation_xyz
'x,y,z'
loop_
_atom_site_label
_atom_site_fract_x
_atom_site_fract_y
_atom_site_fract_z
In1 0.354 0.853 0.440
In2 0.000 0.500 0.500
In3 0.646 0.147 0.560
In4 0.354 0.440 0.853
In5 0.646 0.560 0.147
Pd1 0.761 0.739 0.739
Pd2 0.239 0.261 0.261
Na1 0.000 0.000 0.000

***

(5)
# GGA-PBE NaIn6Pd3, optimized geometry
# Total magnetic moment, μB per formula unit: 0.0
# Final energy, hartree per atom: -0.135
# DOS at the Fermi energy, states/eV per atom: 0.338
data_NaIn6Pd3
_cell_length_a 4.593
_cell_length_b 8.793
_cell_length_c 10.988
_cell_angle_alpha 92.39
_cell_angle_beta 90.00
_cell_angle_gamma 90.00
_space_group_name_H-M_alt 'P 1'
_space_group_IT_number 1
loop_
_space_group_symop_operation_xyz
'x,y,z'
loop_
_atom_site_label
_atom_site_fract_x
_atom_site_fract_y
_atom_site_fract_z
In1 0.250 0.335 0.773
In2 0.250 0.247 0.279
In3 0.250 0.626 0.942
In4 0.750 0.753 0.721
In5 0.750 0.374 0.058
In6 0.750 0.665 0.227
In7 0.750 0.083 0.428
In8 0.250 0.917 0.572
In9 0.750 0.428 0.575
In10 0.250 0.126 0.005
In11 0.750 0.874 0.995
In12 0.250 0.572 0.425
Pd1 0.750 0.106 0.173
Pd2 0.250 0.514 0.168
Pd3 0.750 0.486 0.832
Pd4 0.750 0.757 0.470
Pd5 0.250 0.243 0.530
Pd6 0.250 0.894 0.827
Na1 0.250 0.891 0.255
Na2 0.750 0.109 0.745

***

(6)
# GGA-PBE NaIn2Pd2, optimized geometry
# Total magnetic moment, μB per formula unit: 0.0
# Final energy, hartree per atom: -0.137
# ΔE to the lowest computed polymorph, eV per atom: 0.151
# DOS at the Fermi energy, states/eV per atom: 0.365
data_NaIn2Pd2
_cell_length_a 4.209
_cell_length_b 4.209
_cell_length_c 6.995
_cell_angle_alpha 72.49
_cell_angle_beta 72.49
_cell_angle_gamma 90.00
_space_group_name_H-M_alt 'P 1'
_space_group_IT_number 1
loop_
_space_group_symop_operation_xyz
'x,y,z'
loop_
_atom_site_label
_atom_site_fract_x
_atom_site_fract_y
_atom_site_fract_z
Na1 0.000 0.000 0.000
Pd1 0.250 0.750 0.500
Pd2 0.750 0.250 0.500
In1 0.383 0.383 0.234
In2 0.617 0.617 0.766

***

(7)
# GGA-PBE Na2InPd2, optimized geometry
# Total magnetic moment, μB per formula unit: 0.0
# Final energy, hartree per atom: -0.116
# ΔE to the lowest computed polymorph, eV per atom: 0.280
# DOS at the Fermi energy, states/eV per atom: 0.382
data_Na2InPd2
_cell_length_a 8.127
_cell_length_b 8.127
_cell_length_c 2.960
_cell_angle_alpha 90.00
_cell_angle_beta 90.00
_cell_angle_gamma 90.00
_space_group_name_H-M_alt 'P 1'
_space_group_IT_number 1
loop_
_space_group_symop_operation_xyz
'x,y,z'
loop_
_atom_site_label
_atom_site_fract_x
_atom_site_fract_y
_atom_site_fract_z
Pd1 0.315 0.185 0.500
Pd2 0.815 0.315 0.500
Pd3 0.685 0.815 0.500
Pd4 0.185 0.685 0.500
Na1 0.383 0.883 0.000
Na2 0.883 0.617 0.000
Na3 0.117 0.383 0.000
Na4 0.617 0.117 0.000
In1 0.000 0.000 0.000
In2 0.500 0.500 0.000

***

(8)
# GGA-PBE NaIn3Pd3, optimized geometry
# Total magnetic moment, μB per formula unit: 0.0
# Final energy, hartree per atom: -0.143
# ΔE to the lowest computed polymorph, eV per atom: 0.000
# DOS at the Fermi energy, states/eV per atom: 0.483
data_NaIn3Pd3
_cell_length_a 7.948
_cell_length_b 7.948
_cell_length_c 7.132
_cell_angle_alpha 56.14
_cell_angle_beta 56.14
_cell_angle_gamma 60.00
_space_group_name_H-M_alt 'P 1'
_space_group_IT_number 1
loop_
_space_group_symop_operation_xyz
'x,y,z'
loop_
_atom_site_label
_atom_site_fract_x
_atom_site_fract_y
_atom_site_fract_z
In1 0.760 0.108 0.665
In2 0.468 0.760 0.665
In3 0.892 0.532 0.335
In4 0.240 0.892 0.335
In5 0.532 0.240 0.335
In6 0.108 0.468 0.665
Pd1 0.056 0.756 0.835
Pd2 0.756 0.354 0.835
Pd3 0.646 0.944 0.165
Pd4 0.944 0.244 0.165
Pd5 0.244 0.646 0.165
Pd6 0.354 0.056 0.835
Na1 0.664 0.664 0.007
Na2 0.336 0.336 0.993